Density functional theory data (PBE) for an optimized crystal structure of TiIn2Pb2.

Unit cell a=7.7404 b=7.7404 c=4.5090 alpha=90.00 beta=90.00 gamma=90.00
Atoms (fractional coordinates):
In1 0.6519 0.8481 0.5000
Pb1 0.3429 0.8429 0.0000
Pb2 0.8429 0.6571 0.0000
Pb3 0.6571 0.1571 0.0000
In2 0.3481 0.1519 0.5000
In3 0.8481 0.3481 0.5000
Ti1 0.0000 0.0000 0.0000
In4 0.1519 0.6519 0.5000
Pb4 0.1571 0.3429 0.0000
Ti2 0.5000 0.5000 0.0000

Its energy of formation from the pure elements is 0.328 eV/atom. As for the density: 8506 kg/m³. The density of states at the Fermi level comes out at 5.8 states/eV/cell. As for the space group: P4/mbm.